LiSnBr | PBE | optimized geometry

## Properties
- excess energy over the best structure of this formula in the dataset (meV per atom) = 38
- M_tot (μB/cell) = 0.00
- ρ (Mg/m³) = 3.68
- crystal system = monoclinic
- formation energy from raw total energies (eV per atom) = -0.83

CIF file:
```
data_LiSnBr
_chemical_formula_sum 'Li4 Sn4 Br4'
_cell_length_a 7.6991
_cell_length_b 4.4803
_cell_length_c 11.0846
_cell_angle_alpha 90.00
_cell_angle_beta 104.27
_cell_angle_gamma 90.00
_space_group_name_H-M_alt 'P 1'
_space_group_IT_number 1
_space_group_name_Hall 'P 1'
loop_
_atom_site_label
_atom_site_fract_x
_atom_site_fract_y
_atom_site_fract_z
Li1 0.0000 0.0000 0.0000
Li2 0.0538 0.5000 0.6954
Li3 0.5000 0.5000 0.0000
Li4 0.5538 0.0000 0.6954
Sn1 0.1043 0.0000 0.3466
Sn2 0.4030 0.0000 0.2461
Sn3 0.6043 0.5000 0.3466
Sn4 0.9030 0.5000 0.2461
Br1 0.1423 0.5000 0.9370
Br2 0.2009 0.0000 0.6414
Br3 0.6423 0.0000 0.9370
Br4 0.7009 0.5000 0.6414
```



ZrOs | PBE | optimized geometry

## Properties
- M_tot (μB/cell) = 0.00
- ρ (Mg/m³) = 8.83
- crystal system = cubic
- formation enthalpy at 0 K (eV per atom) = 1.244

CIF file:
```
data_ZrOs
_chemical_formula_sum 'Zr4 Os4'
_cell_length_a 5.9590
_cell_length_b 5.9590
_cell_length_c 5.9590
_cell_angle_alpha 90.00
_cell_angle_beta 90.00
_cell_angle_gamma 90.00
_space_group_name_H-M_alt 'P 1'
_space_group_IT_number 1
_space_group_name_Hall 'P 1'
loop_
_atom_site_label
_atom_site_fract_x
_atom_site_fract_y
_atom_site_fract_z
Zr1 0.0000 0.0000 0.0000
Zr2 0.0000 0.5000 0.5000
Zr3 0.5000 0.0000 0.5000
Zr4 0.5000 0.5000 0.0000
Os1 0.2500 0.2500 0.2500
Os2 0.2500 0.7500 0.7500
Os3 0.7500 0.2500 0.7500
Os4 0.7500 0.7500 0.2500
```



Nd2ThCd2In2 | PBE | optimized geometry

## Properties
- M_tot (μB/cell) = 0.00
- ρ (Mg/m³) = 8.11
- crystal system = trigonal
- formation enthalpy at 0 K (eV per atom) = -0.205

CIF file:
```
data_Nd2ThCd2In2
_chemical_formula_sum 'Nd2 Th1 Cd2 In2'
_cell_length_a 9.5665
_cell_length_b 9.5665
_cell_length_c 9.5665
_cell_angle_alpha 30.48
_cell_angle_beta 30.48
_cell_angle_gamma 30.48
_space_group_name_H-M_alt 'P 1'
_space_group_IT_number 1
_space_group_name_Hall 'P 1'
loop_
_atom_site_label
_atom_site_fract_x
_atom_site_fract_y
_atom_site_fract_z
Nd1 0.1285 0.1285 0.1285
Nd2 0.8715 0.8715 0.8715
Th1 0.0000 0.0000 0.0000
Cd1 0.4022 0.4022 0.4022
Cd2 0.5978 0.5978 0.5978
In1 0.2652 0.2652 0.2652
In2 0.7348 0.7348 0.7348
```



Sc4RhW2 | PBE | optimized geometry

## Properties
- M_tot (μB/cell) = 0.00
- ρ (Mg/m³) = 6.40
- crystal system = tetragonal
- formation enthalpy at 0 K (eV per atom) = 0.651

CIF file:
```
data_Sc4RhW2
_chemical_formula_sum 'Sc8 Rh2 W4'
_cell_length_a 5.1181
_cell_length_b 5.1181
_cell_length_c 12.8794
_cell_angle_alpha 90.00
_cell_angle_beta 90.00
_cell_angle_gamma 90.00
_space_group_name_H-M_alt 'P 1'
_space_group_IT_number 1
_space_group_name_Hall 'P 1'
loop_
_atom_site_label
_atom_site_fract_x
_atom_site_fract_y
_atom_site_fract_z
Sc1 0.0000 0.0000 0.1928
Sc2 0.0000 0.0000 0.8072
Sc3 0.0000 0.5000 0.0000
Sc4 0.0000 0.5000 0.5000
Sc5 0.5000 0.0000 0.0000
Sc6 0.5000 0.0000 0.5000
Sc7 0.5000 0.5000 0.3072
Sc8 0.5000 0.5000 0.6928
Rh1 0.0000 0.0000 0.0000
Rh2 0.5000 0.5000 0.5000
W1 0.0000 0.0000 0.4076
W2 0.0000 0.0000 0.5924
W3 0.5000 0.5000 0.0924
W4 0.5000 0.5000 0.9076
```



NaSnI2 | PBE | optimized geometry

## Properties
- excess energy over the best structure of this formula in the dataset (meV per atom) = 32
- M_tot (μB/cell) = 0.00
- ρ (Mg/m³) = 4.14
- crystal system = triclinic
- formation energy from raw total energies (eV per atom) = -0.66

CIF file:
```
data_NaSnI2
_chemical_formula_sum 'Na2 Sn2 I4'
_cell_length_a 6.4082
_cell_length_b 6.5979
_cell_length_c 8.6456
_cell_angle_alpha 109.55
_cell_angle_beta 111.44
_cell_angle_gamma 90.37
_space_group_name_H-M_alt 'P 1'
_space_group_IT_number 1
_space_group_name_Hall 'P 1'
loop_
_atom_site_label
_atom_site_fract_x
_atom_site_fract_y
_atom_site_fract_z
Na1 0.1240 0.4026 0.2453
Na2 0.8760 0.5974 0.7547
Sn1 0.4129 0.0418 0.8268
Sn2 0.5871 0.9582 0.1732
I1 0.1024 0.8747 0.1984
I2 0.3411 0.5496 0.6840
I3 0.6589 0.4504 0.3160
I4 0.8976 0.1253 0.8016
```



Ba2MgIr | PBE | optimized geometry

## Properties
- M_tot (μB/cell) = 0.00
- ρ (Mg/m³) = 6.05
- crystal system = tetragonal
- formation enthalpy at 0 K (eV per atom) = 0.054

CIF file:
```
data_Ba2MgIr
_chemical_formula_sum 'Ba2 Mg1 Ir1'
_cell_length_a 3.7863
_cell_length_b 3.7863
_cell_length_c 9.4024
_cell_angle_alpha 90.00
_cell_angle_beta 90.00
_cell_angle_gamma 90.00
_space_group_name_H-M_alt 'P 1'
_space_group_IT_number 1
_space_group_name_Hall 'P 1'
loop_
_atom_site_label
_atom_site_fract_x
_atom_site_fract_y
_atom_site_fract_z
Ba1 0.0000 0.0000 0.0000
Ba2 0.5000 0.5000 0.4283
Mg1 0.5000 0.5000 0.7535
Ir1 0.0000 0.0000 0.6680
```



Ti3BiAs | PBE | optimized geometry

## Properties
- excess energy over the best structure of this formula in the dataset (meV per atom) = 0
- M_tot (μB/cell) = 3.15
- ρ (Mg/m³) = 6.47
- crystal system = cubic
- formation enthalpy at 0 K (eV per atom) = 0.022

CIF file:
```
data_Ti3BiAs
_chemical_formula_sum 'Ti3 Bi1 As1'
_cell_length_a 4.7868
_cell_length_b 4.7868
_cell_length_c 4.7868
_cell_angle_alpha 90.00
_cell_angle_beta 90.00
_cell_angle_gamma 90.00
_space_group_name_H-M_alt 'P 1'
_space_group_IT_number 1
_space_group_name_Hall 'P 1'
loop_
_atom_site_label
_atom_site_fract_x
_atom_site_fract_y
_atom_site_fract_z
Ti1 0.0000 0.0000 0.5000
Ti2 0.0000 0.5000 0.0000
Ti3 0.5000 0.0000 0.0000
Bi1 0.5000 0.5000 0.5000
As1 0.0000 0.0000 0.0000
```